# PBE Ta2NbCo, optimized geometry
data_Ta2NbCo
_symmetry_space_group_name_H-M 'P 1 21/m 1'
_symmetry_Int_Tables_number 11
_cell_length_a 3.093
_cell_length_b 8.513
_cell_length_c 5.188
_cell_angle_alpha 90.00
_cell_angle_beta 102.41
_cell_angle_gamma 90.00
loop_
_symmetry_equiv_pos_as_xyz
'x,y,z'
'-x,-y,-z'
'-x,y+1/2,-z'
'x,-y+1/2,z'
loop_
_atom_site_label
_atom_site_fract_x
_atom_site_fract_y
_atom_site_fract_z
_atom_site_occupancy
Ta1 0.164 0.046 0.265 1
Nb1 0.424 0.250 0.844 1
Co1 0.269 0.750 0.562 1
# ΔE_f, meV per atom: -52

***

# PBE TaNb2Co, optimized geometry
data_TaNb2Co
_symmetry_space_group_name_H-M 'R -3 m'
_symmetry_Int_Tables_number 166
_symmetry_space_group_name_Hall '-R 3 2"'
_cell_length_a 2.8704
_cell_length_b 2.8704
_cell_length_c 28.9834
_cell_angle_alpha 90.00
_cell_angle_beta 90.00
_cell_angle_gamma 120.00
loop_
_atom_site_label
_atom_site_fract_x
_atom_site_fract_y
_atom_site_fract_z
_atom_site_occupancy
Ta1 0.0000 0.0000 0.0000 1
Nb1 0.0000 0.0000 0.0944 1
Co1 0.0000 0.0000 0.5000 1
# ΔE_f, meV per atom: 461

***

# PBE TaNb2Co, optimized geometry
data_TaNb2Co
_symmetry_space_group_name_H-M 'P 1 21/m 1'
_symmetry_Int_Tables_number 11
_cell_length_a 3.074
_cell_length_b 8.613
_cell_length_c 5.133
_cell_angle_alpha 90.00
_cell_angle_beta 101.33
_cell_angle_gamma 90.00
loop_
_symmetry_equiv_pos_as_xyz
'x,y,z'
'-x,-y,-z'
'-x,y+1/2,-z'
'x,-y+1/2,z'
loop_
_atom_site_label
_atom_site_fract_x
_atom_site_fract_y
_atom_site_fract_z
_atom_site_occupancy
Ta1 0.076 0.250 0.155 1
Nb1 0.328 0.046 0.740 1
Co1 0.243 0.750 0.443 1
# ΔE_f, meV per atom: -23

***

# PBE Ta2NbCo6, optimized geometry
data_Ta2NbCo6
_symmetry_space_group_name_H-M 'P -3 m 1'
_symmetry_Int_Tables_number 164
_symmetry_space_group_name_Hall '-P 3 2"'
_cell_length_a 5.0933
_cell_length_b 5.0933
_cell_length_c 5.2865
_cell_angle_alpha 90.00
_cell_angle_beta 90.00
_cell_angle_gamma 120.00
loop_
_atom_site_label
_atom_site_fract_x
_atom_site_fract_y
_atom_site_fract_z
_atom_site_occupancy
Ta1 0.3333 0.6667 0.1576 1
Nb1 0.0000 0.0000 0.0000 1
Co1 0.1816 0.3632 0.6664 1
# ΔE_f, meV per atom: -21

***

# PBE Ta2Nb4Co, optimized geometry
data_Ta2Nb4Co
_symmetry_space_group_name_H-M 'I 4/m m m'
_symmetry_Int_Tables_number 139
_symmetry_space_group_name_Hall '-I 4 2'
_cell_length_a 4.553
_cell_length_b 4.553
_cell_length_c 13.468
_cell_angle_alpha 90.00
_cell_angle_beta 90.00
_cell_angle_gamma 90.00
loop_
_atom_site_label
_atom_site_fract_x
_atom_site_fract_y
_atom_site_fract_z
_atom_site_occupancy
Ta1 0.000 0.000 0.126 1
Nb1 0.000 0.000 0.320 1
Nb2 0.000 0.500 0.000 1
Co1 0.000 0.000 0.500 1
# ΔE_f, meV per atom: 883

***

# PBE TaNbCo3, optimized geometry
data_TaNbCo3
_symmetry_space_group_name_H-M 'I 4 m m'
_symmetry_Int_Tables_number 107
_symmetry_space_group_name_Hall 'I 4 -2'
_cell_length_a 3.530
_cell_length_b 3.530
_cell_length_c 11.672
_cell_angle_alpha 90.00
_cell_angle_beta 90.00
_cell_angle_gamma 90.00
loop_
_atom_site_label
_atom_site_fract_x
_atom_site_fract_y
_atom_site_fract_z
_atom_site_occupancy
Ta1 0.000 0.000 0.000 1
Nb1 0.000 0.000 0.320 1
Co1 0.000 0.000 0.788 1
Co2 0.000 0.500 0.146 1
# ΔE_f, meV per atom: 155